(1)
TlMoPb4: relaxed, PBE.

abc: 6.435 6.435 6.435
angles: 60.00 60.00 60.00
Positions (direct):
Tl  0.000  0.000  0.000
Mo  0.750  0.750  0.750
Pb  0.376  0.376  0.376
Pb  0.376  0.376  0.873
Pb  0.376  0.873  0.376
Pb  0.873  0.376  0.376

Calculated values
The formation enthalpy at 0 K comes out at 0.7434 eV/atom. The space group is F-43m (216).



(2)
CsIn3As: relaxed, PBE.

abc: 6.344 6.344 6.344
angles: 90.00 90.00 90.00
Positions (direct):
Cs  0.000  0.000  0.000
In  0.000  0.000  0.500
In  0.000  0.500  0.000
In  0.500  0.000  0.000
As  0.500  0.500  0.500

Calculated values
The formation enthalpy at 0 K comes out at 1.2745 eV/atom. Its polymorph energy (0 for the lowest one) is 1087 meV per atom. The space group is Pm-3m (221).



(3)
K2InPdF6: relaxed, PBE.

abc: 6.277 6.277 6.277
angles: 118.89 118.89 91.93
Positions (direct):
K  0.250  0.750  0.500
K  0.750  0.250  0.500
In  0.000  0.000  0.000
Pd  0.500  0.500  0.000
F  0.233  0.233  0.466
F  0.233  0.767  0.000
F  0.244  0.244  0.000
F  0.756  0.756  0.000
F  0.767  0.233  0.000
F  0.767  0.767  0.534

Calculated values
As for the raw formation energy: -2.21 eV/atom. The space group is I4/mmm (139).



Q: Number 1 is which compound?
A: TlMoPb4



What did the third record say?
K2InPdF6: relaxed, PBE.

abc: 6.277 6.277 6.277
angles: 118.89 118.89 91.93
Positions (direct):
K  0.250  0.750  0.500
K  0.750  0.250  0.500
In  0.000  0.000  0.000
Pd  0.500  0.500  0.000
F  0.233  0.233  0.466
F  0.233  0.767  0.000
F  0.244  0.244  0.000
F  0.756  0.756  0.000
F  0.767  0.233  0.000
F  0.767  0.767  0.534

Calculated values
As for the raw formation energy: -2.21 eV/atom. The space group is I4/mmm (139).